(1)
{
  "formula": "TlRu2Br",
  "functional": "GGA-PBEsol",
  "state": "optimized geometry",
  "de_polymorph_mev_per_atom": 676.2,
  "formation_energy_uncorrected_mev_per_atom": 1068,
  "density_g_cm3": 11.727,
  "space_group": "I-4m2 (119)",
  "final_energy_ev_per_atom": -5.143,
  "lattice": [[3.878, 0.000, 0.000], [0.000, 3.878, 0.000], [-1.939, -1.939, 4.579]],
  "species": ["Ru", "Ru", "Tl", "Br"],
  "frac_coords": [[0.000, 0.000, 0.000], [0.750, 0.250, 0.500], [0.500, 0.500, 0.000], [0.250, 0.750, 0.500]]
}

(2)
{
  "formula": "TlRu2Br",
  "functional": "GGA-PBEsol",
  "state": "optimized geometry",
  "de_polymorph_mev_per_atom": 506.5,
  "formation_energy_uncorrected_mev_per_atom": 898,
  "density_g_cm3": 12.169,
  "space_group": "P4/mmm (123)",
  "final_energy_ev_per_atom": -5.313,
  "lattice": [[-0.157, -2.959, 1.116], [-0.663, -1.568, -4.251], [4.525, -0.444, -0.542]],
  "species": ["Ru", "Ru", "Tl", "Br"],
  "frac_coords": [[0.000, 0.000, 0.500], [0.000, 0.500, 0.000], [0.500, 0.500, 0.500], [0.500, 0.000, 0.000]]
}

Which formula does entry 1 have?
TlRu2Br